Compound: Tb7DyTh3
Source: the Alexandria database
Functional: PBE-GGA
Structure: relaxed

a = 6.450 Å, b = 6.704 Å, c = 8.663 Å
α = 101.38°, β = 97.13°, γ = 96.86°
Fractional positions:
Tb  0.000  0.000  0.000
Tb  0.072  0.715  0.644
Tb  0.205  0.231  0.704
Tb  0.492  0.731  0.925
Tb  0.508  0.269  0.075
Tb  0.795  0.769  0.296
Tb  0.928  0.285  0.356
Dy  0.000  0.500  0.000
Th  0.326  0.948  0.335
Th  0.500  0.500  0.500
Th  0.674  0.052  0.665

Calculated values
As for the formation energy: 0.154 eV per atom. As for the space group: P-1 (2).